[1]
Density functional theory data (PBE) for an optimized crystal structure of ZrSi2Br.

Geometry as extended XYZ:
```
4
Lattice="3.270 0.000 0.000 0.000 3.270 0.000 0.000 0.000 8.116" Properties=species:S:1:pos:R:3 pbc="T T T"
Br 1.635 1.635 5.541
Si 0.000 0.000 0.898
Si 1.635 1.635 1.977
Zr 0.000 0.000 3.759
```

## Properties
uncorrected formation energy = -0.264 eV per atom
SG = No. 99
distance to the lowest polymorph of the same formula = 114.1 meV/atom
density of states at the Fermi level = 2.67 states/eV per cell
crystal system = tetragonal



[2]
Density functional theory data (PBE) for an optimized crystal structure of Cu2BiCl4.

Geometry as extended XYZ:
```
7
Lattice="-3.913 5.007 1.524 -1.817 -6.173 -1.135 3.500 -0.647 5.480" Properties=species:S:1:pos:R:3 pbc="T T T"
Cu -0.590 -3.702 2.269
Cu -1.639 1.888 3.599
Bi -2.865 -0.583 0.194
Cl 0.156 0.389 3.470
Cl -3.196 1.604 1.873
Cl 0.967 -3.417 3.995
Cl -2.385 -2.203 2.399
```

## Properties
uncorrected formation energy = -0.493 eV per atom
SG = No. 87
crystal system = tetragonal



[3]
Density functional theory data (PBE) for an optimized crystal structure of LiTbNp4N8.

Geometry as extended XYZ:
```
14
Lattice="6.884 0.000 0.000 3.442 5.962 0.000 3.442 1.987 5.099" Properties=species:S:1:pos:R:3 pbc="T T T"
Li 3.442 1.987 5.087
Tb 6.884 3.974 4.306
Np 6.884 3.974 0.846
Np 10.326 3.969 2.558
Np 8.600 6.958 2.558
Np 12.052 6.958 2.558
N 6.884 6.174 3.593
N 8.788 2.875 3.593
N 4.980 2.875 3.593
N 3.442 1.987 1.486
N 6.884 1.818 1.452
N 5.016 5.053 1.452
N 8.752 5.053 1.452
N 10.326 5.962 3.709
```

## Properties
uncorrected formation energy = -1.001 eV per atom
SG = No. 160
density of states at the Fermi level = 20.12 states/eV per cell
crystal system = trigonal



[4]
Density functional theory data (PBE) for an optimized crystal structure of MnWAu2.

Geometry as extended XYZ:
```
4
Lattice="0.000 3.164 3.164 3.164 0.000 3.164 3.164 3.164 0.000" Properties=species:S:1:pos:R:3 pbc="T T T"
Mn 0.000 0.000 0.000
Au 1.582 1.582 1.582
Au 4.747 4.747 4.747
W 3.164 3.164 3.164
```

## Properties
SG = No. 225
energy of formation = 0.7480 eV/atom
distance to the lowest polymorph of the same formula = 556.5 meV/atom
density of states at the Fermi level = 5.95 states/eV per cell
crystal system = cubic



[5]
Density functional theory data (PBE) for an optimized crystal structure of Y2AlPt.

Geometry as extended XYZ:
```
4
Lattice="6.151 -0.028 0.027 5.168 3.336 0.027 1.906 0.557 4.440" Properties=species:S:1:pos:R:3 pbc="T T T"
Y 10.984 3.209 0.211
Y 9.947 2.907 3.358
Al 7.105 2.076 2.018
Pt 3.121 0.912 1.209
```

## Properties
SG = No. 44
energy of formation = -0.7491 eV/atom
density of states at the Fermi level = 2.88 states/eV per cell
crystal system = orthorhombic



[6]
Density functional theory data (PBE) for an optimized crystal structure of Sm8Os2Rh.

Geometry as extended XYZ:
```
11
Lattice="5.969 0.035 -1.019 -1.981 6.825 -2.898 -0.135 -0.148 7.673" Properties=species:S:1:pos:R:3 pbc="T T T"
Sm 2.823 2.334 -0.968
Sm 3.303 0.521 1.781
Sm 0.353 2.448 1.553
Sm 5.388 1.375 4.414
Sm 4.328 5.379 -1.656
Sm 3.412 4.321 2.254
Sm 0.381 6.226 2.016
Sm 0.864 4.404 4.778
Os 1.533 4.724 -0.108
Os 2.237 2.063 3.926
Rh 0.536 0.032 -0.073
```

## Properties
SG = No. 8
energy of formation = -0.1652 eV/atom
density of states at the Fermi level = 8.71 states/eV per cell
crystal system = monoclinic



[7]
Density functional theory data (PBE) for an optimized crystal structure of Ba2Cu2Ge.

Geometry as extended XYZ:
```
5
Lattice="6.274 0.000 0.000 0.000 6.274 0.000 3.137 3.137 3.672" Properties=species:S:1:pos:R:3 pbc="T T T"
Ge 0.000 0.000 0.000
Ba 6.274 3.137 1.836
Ba 3.137 6.274 1.836
Cu 3.137 3.137 1.193
Cu 6.274 6.274 2.480
```

## Properties
SG = No. 139
energy of formation = -0.1113 eV/atom
distance to the lowest polymorph of the same formula = 0.0 meV/atom
density of states at the Fermi level = 0.00 states/eV per cell
crystal system = tetragonal



[8]
Density functional theory data (PBE) for an optimized crystal structure of SiMo2Cl.

Geometry as extended XYZ:
```
4
Lattice="-0.956 2.961 -0.461 -0.803 -0.749 -3.145 -6.280 -1.715 2.011" Properties=species:S:1:pos:R:3 pbc="T T T"
Cl -5.791 -0.368 -1.081
Mo -1.067 -0.689 -2.211
Mo -3.278 -1.292 -1.501
Si -2.249 0.864 -0.514
```

## Properties
uncorrected formation energy = -0.005 eV per atom
SG = No. 47
distance to the lowest polymorph of the same formula = 0.0 meV/atom
density of states at the Fermi level = 2.30 states/eV per cell
crystal system = orthorhombic



[9]
Density functional theory data (PBE) for an optimized crystal structure of Tb2Ga9Co3.

Geometry as extended XYZ:
```
28
Lattice="6.813 -0.025 -2.851 -4.007 6.203 -0.017 0.359 0.244 10.337" Properties=species:S:1:pos:R:3 pbc="T T T"
Tb 1.552 1.715 6.790
Tb 1.612 4.707 0.679
Tb 4.730 3.786 4.901
Tb -1.566 2.636 2.569
Ga -0.316 5.864 6.431
Ga 3.480 0.559 1.038
Ga 2.000 4.541 5.846
Ga 1.164 1.881 1.623
Ga 0.834 4.200 8.303
Ga 2.330 2.223 -0.834
Ga -0.434 3.375 5.287
Ga 3.599 3.047 2.182
Ga 5.749 0.979 5.236
Ga -2.585 5.443 2.233
Ga -2.713 6.320 9.362
Ga 5.878 0.103 -1.893
Ga 3.125 1.281 4.217
Ga 0.040 5.142 3.252
Ga 2.764 5.436 3.381
Ga 0.400 0.986 4.088
Ga 4.452 2.122 7.355
Ga -1.288 4.300 0.115
Co 3.406 -0.012 -1.426
Co 1.582 3.211 3.735
Co 5.219 1.157 2.761
Co -2.054 5.266 4.708
Co -0.199 2.110 -0.484
Co 3.364 4.312 7.953
```

## Properties
SG = No. 15
energy of formation = -0.4900 eV/atom
density of states at the Fermi level = 15.32 states/eV per cell
crystal system = monoclinic



[10]
Density functional theory data (PBE) for an optimized crystal structure of La2EuRh.

Geometry as extended XYZ:
```
4
Lattice="3.668 0.000 0.000 0.000 3.668 0.000 0.000 0.000 9.598" Properties=species:S:1:pos:R:3 pbc="T T T"
Eu 1.834 1.834 4.799
Rh 1.834 1.834 0.000
La 0.000 0.000 7.934
La 0.000 0.000 1.664
```

## Properties
SG = No. 123
energy of formation = -0.3163 eV/atom
distance to the lowest polymorph of the same formula = 89.1 meV/atom
density of states at the Fermi level = 4.92 states/eV per cell
crystal system = tetragonal



[11]
Density functional theory data (PBE) for an optimized crystal structure of K4Pu3CdTe8.

Geometry as extended XYZ:
```
16
Lattice="9.112 0.000 0.000 0.000 9.696 0.398 -4.556 -4.549 6.450" Properties=species:S:1:pos:R:3 pbc="T T T"
K 4.556 0.000 0.000
K 2.278 -2.274 3.225
K 0.000 0.000 0.000
K -2.278 -2.274 3.225
Pu 4.556 4.848 0.199
Pu 2.278 2.574 3.424
Pu -2.278 2.574 3.424
Cd 0.000 4.848 0.199
Te -2.278 2.424 6.537
Te 0.000 4.697 3.315
Te 0.000 0.431 3.523
Te 2.278 2.424 6.537
Te 2.278 2.724 0.312
Te 4.556 4.717 3.325
Te 4.556 0.451 3.533
Te 6.834 2.724 0.312
```

## Properties
uncorrected formation energy = -0.967 eV per atom
SG = No. 166
density of states at the Fermi level = 38.45 states/eV per cell
crystal system = trigonal



[12]
Density functional theory data (PBE) for an optimized crystal structure of La3TbPm4.

Geometry as extended XYZ:
```
8
Lattice="3.442 0.000 0.892 1.210 8.728 2.419 -0.510 -1.083 9.058" Properties=species:S:1:pos:R:3 pbc="T T T"
Pm 2.001 0.322 6.453
Pm 2.140 7.323 5.916
Pm 1.270 2.360 9.275
Pm 2.871 5.285 3.094
Tb 1.721 0.000 0.446
La 2.781 1.843 3.444
La 1.361 5.802 8.925
La 0.350 3.823 5.738
```

## Properties
SG = No. 71
energy of formation = 0.1112 eV/atom
distance to the lowest polymorph of the same formula = 97.0 meV/atom
density of states at the Fermi level = 12.69 states/eV per cell
crystal system = orthorhombic